No. 1
## Mn2CuSb2Pt (GGA-PBE)

Data for an optimized crystal structure of Mn2CuSb2Pt.

- Total moment: 1.49 μB per atom
- Crystal system: trigonal
- Energy relative to the elements, uncorrected: -138 meV per atom

abc: 4.3766 4.3766 21.4330
angles: 90.00 90.00 120.00
With the nearest neighbours (Å) after each atom.
Space group R3m (No. 160, hexagonal axes)
Symmetry-distinct sites (fractional):
Mn1 0.0000 0.0000 0.0000 [3 per cell]  3 Cu 2.67, 1 Pt 2.69
Mn2 0.0000 0.0000 0.4986 [3 per cell]  1 Cu 2.67, 3 Pt 2.69
Cu1 0.0000 0.0000 0.3743 [3 per cell]  4 Sb 2.63-2.67, 4 Mn 2.67
Sb1 0.0000 0.0000 0.2515 [3 per cell]  1 Cu 2.63, 3 Pt 2.69
Sb2 0.0000 0.0000 0.7474 [3 per cell]  3 Cu 2.67, 1 Pt 2.72
Pt1 0.0000 0.0000 0.8745 [3 per cell]  4 Mn 2.69, 4 Sb 2.69-2.72

---

No. 2
## SmMnCuPt3 (GGA-PBE)

Data for an optimized crystal structure of SmMnCuPt3.

- Total moment: 0.69 μB per atom
- Crystal system: orthorhombic
- Energy of formation from the pure elements: -382 meV/atom

abc: 5.6884 13.1893 5.7232
angles: 90.00 90.00 90.00
With the nearest neighbours (Å) after each atom.
Space group Cmcm (No. 63)
Symmetry-distinct sites (fractional):
Sm1 0.0000 0.1759 0.2500 [4 per cell]  1 Cu 2.69, 2 Pt 2.84, 2 Mn 2.93
Mn1 0.0000 0.1294 0.7500 [4 per cell]  5 Pt 2.59-2.64, 2 Cu 2.85
Cu1 0.0000 0.3801 0.2500 [4 per cell]  4 Pt 2.57, 1 Sm 2.69, 2 Mn 2.85
Pt1 0.0000 0.3256 0.7500 [4 per cell]  1 Mn 2.59, 2 Sm 2.84
Pt2 0.2488 0.0000 0.0000 [8 per cell]  2 Cu 2.57, 2 Mn 2.64, 4 Pt 2.83-2.86

---

No. 3
## TaMnCuPt (GGA-PBE)

Data for an optimized crystal structure of TaMnCuPt.

- Total moment: 0.46 μB per atom
- Crystal system: cubic
- Energy of formation from the pure elements: -146 meV/atom

abc: 6.1536 6.1536 6.1536
angles: 90.00 90.00 90.00
With the nearest neighbours (Å) after each atom.
Space group F-43m (No. 216)
Symmetry-distinct sites (fractional):
Ta1 0.0000 0.0000 0.0000 [4 per cell]  4 Mn 2.66, 4 Pt 2.66
Mn1 0.2500 0.2500 0.2500 [4 per cell]  4 Ta 2.66, 4 Cu 2.66
Cu1 0.0000 0.0000 0.5000 [4 per cell]  4 Mn 2.66, 4 Pt 2.66
Pt1 0.2500 0.2500 0.7500 [4 per cell]  4 Ta 2.66, 4 Cu 2.66

---

No. 4
## MnCu2TcPt (GGA-PBE)

Data for an optimized crystal structure of MnCu2TcPt.

- Total moment: 0.31 μB per atom
- Crystal system: tetragonal
- Energy of formation from the pure elements: 1142 meV/atom

abc: 4.3936 4.3936 4.2555
angles: 90.00 90.00 90.00
With the nearest neighbours (Å) after each atom.
Space group P4/mmm (No. 123)
Symmetry-distinct sites (fractional):
Mn1 0.0000 0.0000 0.0000 [1 per cell]  2 Tc 2.13, 4 Cu 2.20
Cu1 0.0000 0.5000 0.0000 [2 per cell]  2 Mn 2.20
Tc1 0.0000 0.0000 0.5000 [1 per cell]  2 Mn 2.13
Pt1 0.5000 0.5000 0.5000 [1 per cell]  8 Cu 3.06, 4 Tc 3.11

---

No. 5
## TiMnCuPt2 (GGA-PBE)

Data for an optimized crystal structure of TiMnCuPt2.

- Total moment: 0.01 μB per atom
- Crystal system: tetragonal
- Energy of formation from the pure elements: 850 meV/atom

abc: 4.5473 4.5473 4.1804
angles: 90.00 90.00 90.00
With the nearest neighbours (Å) after each atom.
Space group P4/mmm (No. 123)
Symmetry-distinct sites (fractional):
Ti1 0.0000 0.0000 0.0000 [1 per cell]  8 Pt 3.09, 4 Mn 3.22
Mn1 0.5000 0.5000 0.0000 [1 per cell]  2 Cu 2.09
Cu1 0.5000 0.5000 0.5000 [1 per cell]  2 Mn 2.09, 4 Pt 2.27
Pt1 0.0000 0.5000 0.5000 [2 per cell]  2 Cu 2.27

---

No. 6
## MnV2CuPt (GGA-PBE)

Data for an optimized crystal structure of MnV2CuPt.

- Total moment: 0.41 μB per atom
- Crystal system: tetragonal
- Energy of formation from the pure elements: 1377 meV/atom

abc: 4.2997 4.2997 4.5005
angles: 90.00 90.00 90.00
With the nearest neighbours (Å) after each atom.
Space group P4/mmm (No. 123)
Symmetry-distinct sites (fractional):
Mn1 0.0000 0.0000 0.0000 [1 per cell]  4 Pt 3.04, 8 V 3.11
V1 0.0000 0.5000 0.5000 [2 per cell]  2 Cu 2.15
Cu1 0.5000 0.5000 0.5000 [1 per cell]  4 V 2.15, 2 Pt 2.25
Pt1 0.5000 0.5000 0.0000 [1 per cell]  2 Cu 2.25

---

No. 7
## MnVCuPt (GGA-PBE)

Data for an optimized crystal structure of MnVCuPt.

- Total moment: 0.38 μB per atom
- Crystal system: cubic
- Energy of formation from the pure elements: -158 meV/atom

abc: 5.9986 5.9986 5.9986
angles: 90.00 90.00 90.00
With the nearest neighbours (Å) after each atom.
Space group F-43m (No. 216)
Symmetry-distinct sites (fractional):
Mn1 0.0000 0.0000 0.0000 [4 per cell]  4 Cu 2.60, 4 V 2.60
V1 0.2500 0.2500 0.7500 [4 per cell]  4 Mn 2.60, 4 Pt 2.60
Cu1 0.2500 0.2500 0.2500 [4 per cell]  4 Mn 2.60, 4 Pt 2.60
Pt1 0.0000 0.0000 0.5000 [4 per cell]  4 Cu 2.60, 4 V 2.60

---

No. 8
## Mn2V2CuPt5 (GGA-PBE)

Data for an optimized crystal structure of Mn2V2CuPt5.

- Total moment: 0.41 μB per atom
- Crystal system: tetragonal
- Energy of formation from the pure elements: -172 meV/atom

abc: 8.8393 8.8393 3.9702
angles: 90.00 90.00 90.00
With the nearest neighbours (Å) after each atom.
Space group P4/mbm (No. 127)
Symmetry-distinct sites (fractional):
Mn1 0.1648 0.3352 0.0000 [4 per cell]  3 V 2.51-2.66
V1 0.1346 0.6346 0.0000 [4 per cell]  3 Mn 2.51-2.66, 6 Pt 2.53-2.60
Cu1 0.0000 0.0000 0.0000 [2 per cell]  8 Pt 2.73
Pt1 0.0000 0.5000 0.5000 [2 per cell]  4 V 2.60, 4 Pt 2.77, 4 Mn 2.86
Pt2 0.0798 0.8034 0.5000 [8 per cell]  2 V 2.53, 4 Pt 2.65-2.80, 2 Cu 2.73